# 1
## CaSiAs2 (PBEsol)

Data for CaSiAs2 after structural relaxation.

Geometry as POSCAR:
```
CaSiAs2
1.0
3.983 0.000 0.000
0.000 3.983 0.000
0.000 0.000 9.787
Ca Si As
2 2 4
Direct
0.000 0.000 0.000
0.500 0.500 0.500
0.000 0.500 0.250
0.500 0.000 0.750
0.000 0.000 0.500
0.000 0.500 0.750
0.500 0.000 0.250
0.500 0.500 0.000
```

Output
The density of states at the Fermi level is 0.508 states/eV per atom. The value obtained for the raw total energy is -4.75 eV/atom.

=====

# 2
## Li2TaCl (PBEsol)

Data for Li2TaCl after structural relaxation.

Geometry as POSCAR:
```
Li2TaCl
1.0
6.717 0.000 0.000
0.000 6.717 0.000
0.000 0.000 6.717
Li Ta Cl
8 4 4
Direct
0.250 0.250 0.250
0.250 0.250 0.750
0.250 0.750 0.250
0.250 0.750 0.750
0.750 0.250 0.250
0.750 0.250 0.750
0.750 0.750 0.250
0.750 0.750 0.750
0.000 0.000 0.000
0.000 0.500 0.500
0.500 0.000 0.500
0.500 0.500 0.000
0.000 0.000 0.500
0.000 0.500 0.000
0.500 0.000 0.000
0.500 0.500 0.500
```

Output
The density of states at the Fermi level is 0.786 states/eV per atom. The polymorph energy (0 for the lowest one) comes out at 1.0064 eV per atom. The value obtained for the raw total energy is -3.69 eV/atom.

=====

# 3
## Ir3Au (PBEsol)

Data for Ir3Au after structural relaxation.

Geometry as POSCAR:
```
Ir3Au
1.0
2.746 0.000 0.000
0.000 2.746 0.000
0.000 0.000 7.834
Ir Au
3 1
Direct
0.000 0.000 0.000
0.500 0.500 0.234
0.500 0.500 0.766
0.000 0.000 0.500
```

Output
The density of states at the Fermi level is 0.789 states/eV per atom. The value obtained for the raw total energy is -8.16 eV/atom.

=====

# 4
## LiIn2Hg (PBEsol)

Data for LiIn2Hg after structural relaxation.

Geometry as POSCAR:
```
LiIn2Hg
1.0
9.404 0.000 0.000
0.000 3.402 0.000
-1.014 0.000 5.486
Li In Hg
2 4 2
Direct
0.000 0.000 0.000
0.500 0.500 0.000
0.249 0.000 0.750
0.494 0.000 0.476
0.749 0.500 0.750
0.994 0.500 0.476
0.240 0.500 0.204
0.740 0.000 0.204
```

Output
The density of states at the Fermi level is 0.325 states/eV per atom. The value obtained for the raw total energy is -2.31 eV/atom.

=====

# 5
## HfGe2P (PBEsol)

Data for HfGe2P after structural relaxation.

Geometry as POSCAR:
```
HfGe2P
1.0
6.564 0.000 0.000
0.000 6.564 0.000
0.000 0.000 6.564
Hf Ge P
4 8 4
Direct
0.000 0.000 0.000
0.000 0.500 0.500
0.500 0.000 0.500
0.500 0.500 0.000
0.250 0.250 0.250
0.250 0.250 0.750
0.250 0.750 0.250
0.250 0.750 0.750
0.750 0.250 0.250
0.750 0.250 0.750
0.750 0.750 0.250
0.750 0.750 0.750
0.000 0.000 0.500
0.000 0.500 0.000
0.500 0.000 0.000
0.500 0.500 0.500
```

Output
The density of states at the Fermi level is 1.097 states/eV per atom. The value obtained for the raw total energy is -6.28 eV/atom.

=====

# 6
## TiPdBr3 (PBEsol)

Data for TiPdBr3 after structural relaxation.

Geometry as POSCAR:
```
TiPdBr3
1.0
4.994 0.000 0.000
0.000 4.994 0.000
0.000 0.000 4.994
Ti Pd Br
1 1 3
Direct
0.000 0.000 0.000
0.500 0.500 0.500
0.000 0.000 0.500
0.000 0.500 0.000
0.500 0.000 0.000
```

Output
The density of states at the Fermi level is 1.222 states/eV per atom. The polymorph energy (0 for the lowest one) comes out at 0.0000 eV per atom. The value obtained for the raw total energy is -4.17 eV/atom.

=====

# 7
## CsNa2I2 (PBEsol)

Data for CsNa2I2 after structural relaxation.

Geometry as POSCAR:
```
CsNa2I2
1.0
4.978 0.000 0.000
0.000 4.978 0.000
0.000 0.000 17.281
Cs Na I
2 4 4
Direct
0.000 0.000 0.000
0.500 0.500 0.500
0.000 0.500 0.250
0.000 0.500 0.750
0.500 0.000 0.250
0.500 0.000 0.750
0.000 0.000 0.380
0.000 0.000 0.620
0.500 0.500 0.120
0.500 0.500 0.880
```

Output
The density of states at the Fermi level is 0.443 states/eV per atom. The value obtained for the raw total energy is -2.37 eV/atom.

=====

# 8
## Cr3AsN (PBEsol)

Data for Cr3AsN after structural relaxation.

Geometry as POSCAR:
```
Cr3AsN
1.0
4.683 0.000 0.000
0.000 4.683 0.000
0.000 0.000 4.683
Cr As N
3 1 1
Direct
0.000 0.000 0.500
0.000 0.500 0.000
0.500 0.000 0.000
0.000 0.000 0.000
0.500 0.500 0.500
```

Output
The density of states at the Fermi level is 0.473 states/eV per atom. The polymorph energy (0 for the lowest one) comes out at 2.2719 eV per atom. The value obtained for the raw total energy is -7.01 eV/atom.

=====

# 9
## KCa2La (PBEsol)

Data for KCa2La after structural relaxation.

Geometry as POSCAR:
```
KCa2La
1.0
3.961 0.000 0.000
0.000 6.445 0.000
0.000 0.000 6.550
K Ca La
1 2 1
Direct
0.000 0.000 0.000
0.000 0.500 0.500
0.500 0.500 0.000
0.500 0.000 0.500
```

Output
The density of states at the Fermi level is 1.208 states/eV per atom. The polymorph energy (0 for the lowest one) comes out at 0.0000 eV per atom. The value obtained for the raw total energy is -2.37 eV/atom.

=====

# 10
## MnAuCl3 (PBEsol)

Data for MnAuCl3 after structural relaxation.

Geometry as POSCAR:
```
MnAuCl3
1.0
4.742 0.000 0.000
0.000 4.742 0.000
0.000 0.000 4.742
Mn Au Cl
1 1 3
Direct
0.000 0.000 0.000
0.500 0.500 0.500
0.000 0.000 0.500
0.000 0.500 0.000
0.500 0.000 0.000
```

Output
The density of states at the Fermi level is 0.248 states/eV per atom. The value obtained for the raw total energy is -4.12 eV/atom.

=====

# 11
## Zr2TaCr2 (PBEsol)

Data for Zr2TaCr2 after structural relaxation.

Geometry as POSCAR:
```
Zr2TaCr2
1.0
3.900 0.000 0.000
0.000 3.900 0.000
0.000 0.000 11.570
Zr Ta Cr
4 2 4
Direct
0.000 0.500 0.250
0.000 0.500 0.750
0.500 0.000 0.250
0.500 0.000 0.750
0.000 0.000 0.000
0.500 0.500 0.500
0.000 0.000 0.421
0.000 0.000 0.579
0.500 0.500 0.079
0.500 0.500 0.921
```

Output
The density of states at the Fermi level is 1.215 states/eV per atom. The value obtained for the raw total energy is -9.60 eV/atom.

=====

# 12
## Mn3SeN (PBEsol)

Data for Mn3SeN after structural relaxation.

Geometry as POSCAR:
```
Mn3SeN
1.0
3.822 0.000 0.000
0.000 3.822 0.000
0.000 0.000 3.822
Mn Se N
3 1 1
Direct
0.000 0.000 0.500
0.000 0.500 0.000
0.500 0.000 0.000
0.500 0.500 0.500
0.000 0.000 0.000
```

Output
The density of states at the Fermi level is 1.431 states/eV per atom. The value obtained for the raw total energy is -8.38 eV/atom.

=====

Among the records above, which one has the highest raw total energy? LiIn2Hg

=====

Please write out number 9 again, unchanged.
## KCa2La (PBEsol)

Data for KCa2La after structural relaxation.

Geometry as POSCAR:
```
KCa2La
1.0
3.961 0.000 0.000
0.000 6.445 0.000
0.000 0.000 6.550
K Ca La
1 2 1
Direct
0.000 0.000 0.000
0.000 0.500 0.500
0.500 0.500 0.000
0.500 0.000 0.500
```

Output
The density of states at the Fermi level is 1.208 states/eV per atom. The polymorph energy (0 for the lowest one) comes out at 0.0000 eV per atom. The value obtained for the raw total energy is -2.37 eV/atom.

=====

What is the formula in the ninth record? KCa2La